Entry 1:
# SbP2Pb

A relaxed structure of SbP2Pb (PBE-GGA, the Alexandria database).

Properties
- ΔE_f (raw) (meV per atom) = 325
- magnetic moment (μB/atom) = 0.00

Lattice parameters (Å, degrees): 7.044 7.044 6.731 58.45 58.45 90.00
Fractional coordinates of all 8 atoms:
Pb: 0.000 0.000 0.000
Pb: 0.750 0.250 0.500
Sb: 0.500 0.500 0.000
Sb: 0.250 0.750 0.500
P: 0.600 0.125 0.250
P: 0.150 0.625 0.250
P: 0.375 0.400 0.750
P: 0.875 0.850 0.750

Entry 2:
# Sb2P2Pb

A relaxed structure of Sb2P2Pb (PBE-GGA, the Alexandria database).

Properties
- ΔE_f (raw) (meV per atom) = 237
- magnetic moment (μB/atom) = 0.00

Lattice parameters (Å, degrees): 8.439 8.439 3.702 90.00 90.00 90.00
Fractional coordinates of all 10 atoms:
Pb: 0.000 0.000 0.000
Pb: 0.500 0.500 0.000
Sb: 0.162 0.662 0.500
Sb: 0.662 0.838 0.500
Sb: 0.838 0.338 0.500
Sb: 0.338 0.162 0.500
P: 0.311 0.811 0.000
P: 0.811 0.689 0.000
P: 0.689 0.189 0.000
P: 0.189 0.311 0.000

Entry 3:
# SbP2Pb

A relaxed structure of SbP2Pb (PBE-GGA, the Alexandria database).

Properties
- ΔE_f (raw) (meV per atom) = 120
- magnetic moment (μB/atom) = 0.00

Lattice parameters (Å, degrees): 6.026 6.196 6.210 71.55 73.63 77.51
Fractional coordinates of all 8 atoms:
Sb: 0.606 0.515 0.198
Sb: 0.660 0.003 0.923
P: 0.282 0.625 0.543
P: 0.103 0.956 0.905
P: 0.273 0.989 0.534
P: 0.644 0.021 0.504
Pb: 0.822 0.549 0.591
Pb: 0.196 0.364 0.037

Entry 4:
# Sb3PPb

A relaxed structure of Sb3PPb (PBE-GGA, the Alexandria database).

Properties
- ΔE_f (raw) (meV per atom) = 1415
- magnetic moment (μB/atom) = 0.00

Lattice parameters (Å, degrees): 5.721 5.721 5.721 90.00 90.00 90.00
Fractional coordinates of all 5 atoms:
Pb: 0.000 0.000 0.000
Sb: 0.000 0.500 0.000
Sb: 0.000 0.000 0.500
Sb: 0.500 0.000 0.000
P: 0.500 0.500 0.500

Entry 5:
# SbPPb4

A relaxed structure of SbPPb4 (PBE-GGA, the Alexandria database).

Properties
- ΔE_f (raw) (meV per atom) = 564
- magnetic moment (μB/atom) = 0.00

Lattice parameters (Å, degrees): 6.399 6.399 6.399 60.00 60.00 60.00
Fractional coordinates of all 6 atoms:
Sb: 0.750 0.750 0.750
P: 0.000 0.000 0.000
Pb: 0.875 0.375 0.375
Pb: 0.375 0.375 0.875
Pb: 0.375 0.875 0.375
Pb: 0.375 0.375 0.375

Entry 6:
# SbP2Pb

A relaxed structure of SbP2Pb (PBE-GGA, the Alexandria database).

Properties
- ΔE_f (raw) (meV per atom) = 65
- magnetic moment (μB/atom) = 0.00

Lattice parameters (Å, degrees): 3.310 5.590 5.950 99.79 90.34 89.84
Fractional coordinates of all 4 atoms:
Sb: 0.059 0.037 0.443
P: 0.562 0.586 0.801
P: 0.059 0.542 0.553
Pb: 0.559 0.102 0.963

Entry 7:
# Sb3P5Pb12

A relaxed structure of Sb3P5Pb12 (PBE-GGA, the Alexandria database).

Properties
- ΔE_f (raw) (meV per atom) = 165
- magnetic moment (μB/atom) = 0.00

Lattice parameters (Å, degrees): 15.225 15.225 15.225 109.47 109.47 109.47
Fractional coordinates of all 80 atoms:
Sb: 0.750 0.375 0.125
Sb: 0.875 0.750 0.125
Sb: 0.375 0.750 0.625
Sb: 0.250 0.125 0.375
Sb: 0.875 0.125 0.250
Sb: 0.375 0.625 0.250
Sb: 0.625 0.375 0.750
Sb: 0.125 0.875 0.750
Sb: 0.750 0.875 0.625
Sb: 0.625 0.250 0.375
Sb: 0.125 0.250 0.875
Sb: 0.250 0.625 0.875
P: 0.125 0.375 0.250
P: 0.000 0.500 0.000
P: 0.000 0.000 0.000
P: 0.375 0.250 0.125
P: 0.500 0.000 0.500
P: 0.500 0.500 0.000
P: 0.125 0.750 0.375
P: 0.750 0.125 0.875
P: 0.750 0.625 0.375
P: 0.375 0.125 0.750
P: 0.625 0.875 0.250
P: 0.500 0.500 0.500
P: 0.500 0.000 0.000
P: 0.000 0.000 0.500
P: 0.250 0.375 0.625
P: 0.250 0.875 0.125
P: 0.000 0.500 0.500
P: 0.875 0.250 0.625
P: 0.625 0.750 0.875
P: 0.875 0.625 0.750
Pb: 0.716 0.132 0.044
Pb: 0.328 0.544 0.412
Pb: 0.956 0.368 0.284
Pb: 0.544 0.216 0.132
Pb: 0.584 0.716 0.672
Pb: 0.956 0.588 0.172
Pb: 0.328 0.784 0.416
Pb: 0.088 0.916 0.132
Pb: 0.588 0.956 0.672
Pb: 0.716 0.584 0.172
Pb: 0.784 0.456 0.368
Pb: 0.828 0.912 0.044
Pb: 0.132 0.716 0.544
Pb: 0.368 0.412 0.084
Pb: 0.084 0.912 0.368
Pb: 0.416 0.132 0.588
Pb: 0.084 0.172 0.216
Pb: 0.456 0.672 0.088
Pb: 0.828 0.916 0.284
Pb: 0.132 0.416 0.088
Pb: 0.368 0.956 0.784
Pb: 0.588 0.632 0.416
Pb: 0.912 0.828 0.544
Pb: 0.784 0.328 0.916
Pb: 0.412 0.368 0.584
Pb: 0.088 0.172 0.456
Pb: 0.216 0.672 0.084
Pb: 0.172 0.084 0.716
Pb: 0.632 0.044 0.216
Pb: 0.868 0.584 0.912
Pb: 0.544 0.328 0.912
Pb: 0.584 0.868 0.412
Pb: 0.916 0.828 0.784
Pb: 0.916 0.088 0.632
Pb: 0.868 0.284 0.456
Pb: 0.172 0.088 0.956
Pb: 0.632 0.588 0.916
Pb: 0.412 0.044 0.328
Pb: 0.284 0.416 0.828
Pb: 0.216 0.544 0.632
Pb: 0.912 0.084 0.868
Pb: 0.672 0.216 0.584
Pb: 0.456 0.784 0.868
Pb: 0.044 0.412 0.828
Pb: 0.416 0.284 0.328
Pb: 0.044 0.632 0.716
Pb: 0.672 0.456 0.588
Pb: 0.284 0.868 0.956

Entry 8:
# SbPPb3

A relaxed structure of SbPPb3 (PBE-GGA, the Alexandria database).

Properties
- ΔE_f (raw) (meV per atom) = 72
- magnetic moment (μB/atom) = 0.00

Lattice parameters (Å, degrees): 4.336 7.493 9.748 92.65 90.00 90.00
Fractional coordinates of all 10 atoms:
Sb: 0.250 0.386 0.770
Sb: 0.750 0.614 0.230
P: 0.250 0.081 0.169
P: 0.750 0.919 0.831
Pb: 0.750 0.143 0.618
Pb: 0.750 0.632 0.638
Pb: 0.250 0.857 0.382
Pb: 0.250 0.368 0.362
Pb: 0.250 0.775 0.974
Pb: 0.750 0.225 0.026

Entry 9:
# SbPPb3

A relaxed structure of SbPPb3 (PBE-GGA, the Alexandria database).

Properties
- ΔE_f (raw) (meV per atom) = 910
- magnetic moment (μB/atom) = 0.00

Lattice parameters (Å, degrees): 5.838 5.838 5.838 90.00 90.00 90.00
Fractional coordinates of all 5 atoms:
Pb: 0.000 0.500 0.000
Pb: 0.000 0.000 0.500
Pb: 0.500 0.000 0.000
Sb: 0.000 0.000 0.000
P: 0.500 0.500 0.500

Entry 10:
# SbP2Pb

A relaxed structure of SbP2Pb (PBE-GGA, the Alexandria database).

Properties
- ΔE_f (raw) (meV per atom) = 467
- magnetic moment (μB/atom) = 0.00

Lattice parameters (Å, degrees): 5.297 5.297 5.297 133.88 113.41 84.82
Fractional coordinates of all 4 atoms:
P: 0.972 0.972 0.000
P: 0.528 0.528 0.000
Pb: 0.250 0.750 0.500
Sb: 0.750 0.250 0.500

Entry 11:
# Sb2PPb

A relaxed structure of Sb2PPb (PBE-GGA, the Alexandria database).

Properties
- ΔE_f (raw) (meV per atom) = 426
- magnetic moment (μB/atom) = 0.00

Lattice parameters (Å, degrees): 5.158 5.158 3.838 90.00 90.00 90.00
Fractional coordinates of all 4 atoms:
Sb: 0.500 0.000 0.000
Sb: 0.000 0.500 0.000
P: 0.500 0.500 0.500
Pb: 0.000 0.000 0.500

Entry 12:
# SbP2Pb

A relaxed structure of SbP2Pb (PBE-GGA, the Alexandria database).

Properties
- ΔE_f (raw) (meV per atom) = 361
- magnetic moment (μB/atom) = 0.00

Lattice parameters (Å, degrees): 3.616 3.616 9.985 90.00 90.00 126.16
Fractional coordinates of all 4 atoms:
P: 0.000 0.000 0.059
P: 0.500 0.500 0.195
Pb: 0.000 0.000 0.482
Sb: 0.500 0.500 0.764